{"formula": "K2Tm2TcO6", "functional": "PBE-GGA", "state": "relaxed", "cell": [[2.8654, -4.9237, 0.0000], [2.8654, 4.9237, 0.0000], [-1.7803, 0.0000, 6.3326]], "species": ["K", "K", "Tm", "Tm", "Tc", "O", "O", "O", "O", "O", "O"], "fractional_positions": [[0.1630, 0.8370, 0.0000], [0.8370, 0.1630, 0.0000], [0.3350, 0.6650, 0.5000], [0.6650, 0.3350, 0.5000], [0.0000, 0.0000, 0.5000], [0.0499, 0.3669, 0.6717], [0.2540, 0.2540, 0.3271], [0.3669, 0.0499, 0.6717], [0.6331, 0.9501, 0.3283], [0.7460, 0.7460, 0.6729], [0.9501, 0.6331, 0.3283]], "energy_ev_per_cell": -77.99, "raw_formation_energy_ev_per_atom": -2.43, "volume_a3_per_cell": 178.69, "magmom_total_mub_per_atom": 0.2727, "space_group": "C2/m, No. 12"}